10
Lattice="4.476 0.000 0.000 0.000 8.563 -0.880 -2.238 -2.027 10.664" Properties=species:S:1:pos:R:3 comment="Sm4TlTe5, optimized geometry, DFT PBE" e_tot_ev_per_atom=-4.79 density_g_cm3=5.98 formation_energy_uncorrected_ev_per_atom=-1.099 pbc="T T T"
Te 2.238 0.537 6.604
Te 0.000 1.181 2.121
Te 2.238 5.355 7.663
Te 0.000 5.999 3.180
Te 2.238 4.281 -0.440
Sm 0.000 6.899 6.096
Sm 2.238 -0.363 3.688
Sm 2.238 0.172 9.688
Sm 0.000 6.364 0.096
Tl 2.238 0.000 0.000


20
Lattice="4.151 0.000 0.000 0.000 12.462 0.414 0.000 -3.772 12.463" Properties=species:S:1:pos:R:3 comment="Sm6TlTe3, optimized geometry, DFT PBE" e_tot_ev_per_atom=-4.85 density_g_cm3=7.60 formation_energy_uncorrected_ev_per_atom=-0.836 pbc="T T T"
Tl 3.113 -2.085 8.624
Tl 1.038 10.774 4.253
Sm 1.038 5.017 4.593
Sm 1.038 4.007 11.422
Sm 3.113 7.033 9.699
Sm 1.038 1.657 3.178
Sm 3.113 3.673 8.284
Sm 1.038 8.950 7.012
Sm 3.113 4.683 1.454
Sm 3.113 11.183 1.802
Sm 3.113 8.196 3.944
Sm 1.038 -2.494 11.075
Sm 3.113 -0.261 5.865
Sm 1.038 0.493 8.933
Te 1.038 2.240 6.284
Te 1.038 6.994 12.021
Te 3.113 1.696 0.856
Te 3.113 1.759 10.866
Te 3.113 6.450 6.593
Te 1.038 6.930 2.010


13
Lattice="6.243 0.000 1.015 0.000 8.747 0.000 -1.344 -4.373 7.561" Properties=species:S:1:pos:R:3 comment="Sm8Tl3Te2, optimized geometry, DFT PBE" e_tot_ev_per_atom=-4.35 density_g_cm3=8.10 formation_energy_uncorrected_ev_per_atom=-0.415 pbc="T T T"
Sm 5.031 0.000 3.590
Sm 1.995 6.151 2.248
Sm 2.904 -1.778 6.328
Sm 5.160 4.373 2.284
Sm 2.904 1.778 6.328
Sm 1.995 2.595 2.248
Sm -0.261 0.000 6.292
Sm -0.132 4.373 4.986
Tl 0.000 7.158 0.000
Tl 0.000 1.589 0.000
Tl 3.122 0.000 0.508
Te 3.048 4.373 4.619
Te 1.851 0.000 3.957


16
Lattice="8.879 0.000 0.000 0.000 9.645 0.537 -4.439 -4.437 6.280" Properties=species:S:1:pos:R:3 comment="SmTm3Tl4Te8, optimized geometry, DFT PBE" e_tot_ev_per_atom=-4.33 density_g_cm3=7.41 formation_energy_uncorrected_ev_per_atom=-1.036 pbc="T T T"
Tl -2.220 -2.218 3.140
Tl 2.220 -2.218 3.140
Tl 0.000 0.000 0.000
Tl 4.439 0.000 0.000
Te 4.439 4.743 3.351
Te 2.174 2.565 6.487
Te 6.613 2.643 0.330
Te 4.439 0.471 3.406
Te 0.000 0.465 3.466
Te -2.174 2.565 6.487
Te 2.265 2.643 0.330
Te 0.000 4.737 3.412
Tm -2.220 2.604 3.409
Tm 2.220 2.604 3.409
Tm 4.439 4.823 0.269
Sm 0.000 4.823 0.269


12
Lattice="-1.238 4.082 6.497 -3.811 -6.670 -1.183 7.706 -3.238 1.952" Properties=species:S:1:pos:R:3 comment="Sm2TmTl3Te6, optimized geometry, DFT PBE" e_tot_ev_per_atom=-4.38 density_g_cm3=7.17 formation_energy_uncorrected_ev_per_atom=-1.055 pbc="T T T"
Sm -2.097 0.494 3.934
Sm -2.952 -3.082 1.380
Tl 1.329 -2.913 3.633
Tl 0.478 -6.470 1.093
Tl 2.180 0.644 6.174
Te 0.889 0.450 2.915
Te 2.607 -2.774 6.854
Te 4.758 -3.192 2.875
Te 0.051 -3.052 0.413
Te 1.769 -6.277 4.352
Te -2.100 -2.635 4.392
Tm 0.000 0.000 0.000


15
Lattice="8.837 0.000 0.000 -4.419 7.654 -0.032 0.000 -5.071 8.306" Properties=species:S:1:pos:R:3 comment="SmU3Tl3Te8, optimized geometry, DFT PBE" e_tot_ev_per_atom=-5.41 density_g_cm3=7.40 formation_energy_uncorrected_ev_per_atom=-0.689 pbc="T T T"
Te 0.000 2.559 2.342
Te 4.419 2.509 2.340
Te 2.166 3.825 5.917
Te 6.585 -1.243 2.357
Te 4.419 0.023 5.932
Te 0.000 0.073 5.933
Te -2.166 3.825 5.917
Te 2.252 -1.243 2.356
U 2.209 1.291 4.137
U -2.209 1.291 4.137
U 4.419 -2.536 4.153
Tl -2.209 3.827 -0.016
Tl 2.209 3.827 -0.016
Tl 0.000 0.000 0.000
Sm 0.000 -2.536 4.153


12
Lattice="7.716 -0.001 0.000 -3.857 6.683 0.000 -1.287 -2.228 8.281" Properties=species:S:1:pos:R:3 comment="SmU2Tl3Te6, optimized geometry, DFT PBE" e_tot_ev_per_atom=-5.13 density_g_cm3=7.80 formation_energy_uncorrected_ev_per_atom=-0.695 pbc="T T T"
Te 3.870 2.203 6.481
Te 2.599 0.001 1.800
Te 2.558 4.429 1.791
Te 0.014 0.025 6.490
Te -0.026 4.453 6.481
Te -1.298 2.251 1.800
Sm 0.000 0.000 0.000
Tl 5.158 -0.009 4.141
Tl 1.286 2.227 4.141
Tl -2.585 4.463 4.141
U -0.003 4.457 0.000
U 3.862 2.225 0.000


11
Lattice="7.726 -0.028 0.061 -3.843 6.702 0.061 -1.391 -2.390 8.179" Properties=species:S:1:pos:R:3 comment="Sm2UTl2Te6, optimized geometry, DFT PBE" e_tot_ev_per_atom=-4.96 density_g_cm3=6.69 formation_energy_uncorrected_ev_per_atom=-0.936 pbc="T T T"
Te 0.584 1.004 2.357
Te 0.696 5.506 2.419
Te 1.908 3.280 5.944
Te 4.442 3.326 2.419
Te 1.796 -1.222 5.883
Te -1.950 0.958 5.883
Tl 5.776 1.106 0.061
Tl -1.893 5.568 0.061
Sm 3.185 1.014 4.151
Sm -0.692 3.270 4.151
U -0.695 -1.195 4.090


4
Lattice="-3.879 0.078 -2.132 -1.679 -2.842 2.950 -1.867 4.811 3.572" Properties=species:S:1:pos:R:3 comment="SmYTlTe, optimized geometry, DFT PBE" e_tot_ev_per_atom=-4.99 density_g_cm3=7.71 formation_energy_uncorrected_ev_per_atom=-0.819 pbc="T T T"
Sm -3.712 1.024 2.195
Te -2.779 -1.382 0.409
Tl -0.933 2.406 1.786
Y 0.000 0.000 0.000


12
Lattice="-3.330 -2.625 6.543 -3.634 -0.871 -6.843 5.999 -6.070 -0.932" Properties=species:S:1:pos:R:3 comment="Sm2YTl3Te6, optimized geometry, DFT PBE" e_tot_ev_per_atom=-4.56 density_g_cm3=6.82 formation_energy_uncorrected_ev_per_atom=-1.069 pbc="T T T"
Te -0.301 -2.427 1.930
Te -0.565 -7.717 1.242
Te -3.875 -3.920 -0.426
Te 2.909 -5.646 -0.806
Te -0.664 -7.139 -3.162
Te -0.400 -1.850 -2.474
Tl -0.483 -4.783 -0.616
Tl -0.583 -4.201 -5.058
Tl -0.382 -5.365 3.826
Sm -3.431 -2.040 2.078
Sm -3.532 -1.456 -2.378
Y 0.000 0.000 0.000


12
Lattice="-4.425 5.203 -3.675 -3.213 -4.976 5.007 3.766 5.258 5.639" Properties=species:S:1:pos:R:3 comment="SmY2Tl3Te6, optimized geometry, DFT PBE" e_tot_ev_per_atom=-4.70 density_g_cm3=6.65 formation_energy_uncorrected_ev_per_atom=-1.069 pbc="T T T"
Y -4.022 1.812 -0.783
Y -3.617 -1.585 2.114
Tl -1.936 2.742 3.485
Tl -1.531 -0.664 6.390
Tl -2.342 6.148 0.580
Te -2.641 2.578 6.901
Te -0.823 -0.531 3.002
Te -1.232 2.907 0.070
Te -3.050 6.015 3.968
Te -4.797 1.293 2.185
Te 0.924 4.191 4.785
Sm 0.000 0.000 0.000


16
Lattice="8.945 0.000 0.000 0.000 9.662 0.501 -4.472 -4.470 6.327" Properties=species:S:1:pos:R:3 comment="SmY3Tl4Te8, optimized geometry, DFT PBE" e_tot_ev_per_atom=-4.74 density_g_cm3=6.61 formation_energy_uncorrected_ev_per_atom=-1.069 pbc="T T T"
Te 4.472 4.766 3.367
Te 0.000 0.427 3.462
Te 6.682 2.638 0.301
Te 0.000 4.763 3.402
Te 2.263 2.638 0.301
Te -2.209 2.555 6.528
Te 4.472 0.430 3.426
Te 2.209 2.555 6.528
Y 2.236 2.596 3.414
Y 4.472 4.831 0.251
Y -2.236 2.596 3.414
Tl 0.000 0.000 0.000
Tl 4.472 0.000 0.000
Tl -2.236 -2.235 3.163
Tl 2.236 -2.235 3.163
Sm 0.000 4.831 0.251